Li2ReCl: PBEsol geometry, SCAN.

Output
- Total energy: -81.5 eV per cell
- Crystal system: tetragonal
- Mass density: 6.92 g/cm3
- SG: I-4m2, No. 119
- Density of states at the Fermi level: 1.1 states/eV/cell
- Magnetization: 2.43 μB per formula unit

```
Li2ReCl
1.0
-1.093 1.694 2.856
-2.800 -2.087 0.167
4.308 -2.760 1.146
Li Re Cl
2 1 1
direct
0.750 0.250 0.500 Li
0.000 0.000 0.000 Li
0.500 0.500 0.000 Re
0.250 0.750 0.500 Cl
```